# 1
! BaTePt (PBE, relaxed); values from VASP
! - E_form (uncorrected) (eV/atom) = -1.13
&SYSTEM
  ibrav = 0, nat = 6, ntyp = 3
/
ATOMIC_SPECIES
Pt 195.08 Pt.upf
Te 127.60 Te.upf
Ba 137.33 Ba.upf
CELL_PARAMETERS angstrom
-1.494 3.385 -2.897
-8.232 0.183 4.458
2.192 1.132 4.001
ATOMIC_POSITIONS crystal
Pt 0.221 0.655 0.849
Te 0.221 0.155 0.847
Te 0.554 0.655 0.515
Ba 0.888 0.905 0.181
Pt 0.555 0.155 0.514
Ba 0.888 0.405 0.181

***

# 2
! BaTe4Pt (PBE, relaxed); values from VASP
! - E_form (uncorrected) (eV/atom) = 0.06
&SYSTEM
  ibrav = 0, nat = 6, ntyp = 3
/
ATOMIC_SPECIES
Te 127.60 Te.upf
Pt 195.08 Pt.upf
Ba 137.33 Ba.upf
CELL_PARAMETERS angstrom
0.010 -1.695 6.152
-3.752 -4.756 2.005
2.574 -5.563 1.773
ATOMIC_POSITIONS crystal
Te 0.373 0.881 0.373
Te 0.373 0.373 0.373
Pt 0.000 0.000 0.000
Te 0.373 0.373 0.881
Ba 0.750 0.750 0.750
Te 0.881 0.373 0.373

***

# 3
! BaTe2Pt (PBE, relaxed); values from VASP
! - E_form (uncorrected) (eV/atom) = -0.58
! - energy above the most stable polymorph in this dataset (meV per atom) = 342
&SYSTEM
  ibrav = 0, nat = 4, ntyp = 3
/
ATOMIC_SPECIES
Te 127.60 Te.upf
Pt 195.08 Pt.upf
Ba 137.33 Ba.upf
CELL_PARAMETERS angstrom
-0.531 -2.696 -3.715
0.980 -1.544 4.243
-7.909 -0.639 1.595
ATOMIC_POSITIONS crystal
Te 0.000 0.000 0.553
Te 0.000 0.000 0.947
Pt 0.500 0.500 0.750
Ba 0.500 0.500 0.250

***

# 4
! BaTePt (PBE, relaxed); values from VASP
! - E_form (uncorrected) (eV/atom) = -0.98
&SYSTEM
  ibrav = 0, nat = 6, ntyp = 3
/
ATOMIC_SPECIES
Pt 195.08 Pt.upf
Ba 137.33 Ba.upf
Te 127.60 Te.upf
CELL_PARAMETERS angstrom
-4.538 -1.665 0.010
4.201 -4.382 2.763
-0.736 2.105 6.164
ATOMIC_POSITIONS crystal
Pt 0.534 0.546 0.052
Ba 0.264 0.014 0.096
Pt 0.195 0.872 0.625
Te 0.771 0.024 0.501
Te 0.015 0.509 0.930
Ba 0.490 0.462 0.531

***

# 5
! BaTePt (PBE, relaxed); values from VASP
! - E_form (uncorrected) (eV/atom) = -0.55
&SYSTEM
  ibrav = 0, nat = 6, ntyp = 3
/
ATOMIC_SPECIES
Pt 195.08 Pt.upf
Ba 137.33 Ba.upf
Te 127.60 Te.upf
CELL_PARAMETERS angstrom
-2.802 3.866 3.295
-1.717 -0.944 -5.460
-6.213 -7.236 3.205
ATOMIC_POSITIONS crystal
Pt 0.000 0.000 0.000
Ba 0.667 0.333 0.750
Pt 0.000 0.000 0.500
Te 0.000 0.000 0.750
Te 0.000 0.000 0.250
Ba 0.333 0.667 0.250

***

# 6
! BaTePt (PBE, relaxed); values from VASP
! - E_form (uncorrected) (eV/atom) = -1.11
&SYSTEM
  ibrav = 0, nat = 6, ntyp = 3
/
ATOMIC_SPECIES
Pt 195.08 Pt.upf
Ba 137.33 Ba.upf
Te 127.60 Te.upf
CELL_PARAMETERS angstrom
6.583 0.006 -0.009
2.677 6.014 -0.008
2.470 1.604 4.876
ATOMIC_POSITIONS crystal
Pt 0.962 0.654 0.789
Ba 0.462 0.654 0.289
Pt 0.962 0.654 0.289
Te 0.649 0.967 0.539
Ba 0.961 0.154 0.789
Te 0.274 0.341 0.039

***

# 7
! BaTePt (PBE, relaxed); values from VASP
! - E_form (uncorrected) (eV/atom) = -1.03
&SYSTEM
  ibrav = 0, nat = 6, ntyp = 3
/
ATOMIC_SPECIES
Te 127.60 Te.upf
Ba 137.33 Ba.upf
Pt 195.08 Pt.upf
CELL_PARAMETERS angstrom
-5.884 2.825 -2.016
-3.612 -3.100 5.127
1.758 2.561 2.779
ATOMIC_POSITIONS crystal
Te 0.234 0.568 0.113
Ba 0.238 0.988 0.616
Pt 0.419 0.388 0.706
Te 0.779 0.995 0.885
Ba 0.776 0.575 0.383
Pt 0.594 0.175 0.293

***

# 8
! BaTePt (PBE, relaxed); values from VASP
! - E_form (uncorrected) (eV/atom) = -1.05
&SYSTEM
  ibrav = 0, nat = 6, ntyp = 3
/
ATOMIC_SPECIES
Ba 137.33 Ba.upf
Pt 195.08 Pt.upf
Te 127.60 Te.upf
CELL_PARAMETERS angstrom
-2.615 -0.194 -4.393
6.763 -1.618 -10.167
-1.538 -3.249 3.635
ATOMIC_POSITIONS crystal
Ba 0.423 0.110 0.117
Pt 0.444 0.792 0.275
Te 0.913 0.862 0.378
Pt 0.946 0.791 0.777
Te 0.993 0.319 0.755
Ba 0.550 0.552 0.432

***

# 9
! Ba2TlTePt (PBE, relaxed); values from VASP
! - E_form (uncorrected) (eV/atom) = -0.85
&SYSTEM
  ibrav = 0, nat = 5, ntyp = 4
/
ATOMIC_SPECIES
Ba 137.33 Ba.upf
Pt 195.08 Pt.upf
Te 127.60 Te.upf
Tl 204.38 Tl.upf
CELL_PARAMETERS angstrom
-5.873 1.703 -0.553
-1.772 -5.253 2.640
0.220 2.278 4.679
ATOMIC_POSITIONS crystal
Ba 0.500 0.000 0.000
Pt 0.000 0.000 0.000
Te 0.500 0.500 0.500
Tl 0.000 0.000 0.500
Ba 0.000 0.500 0.000

***

# 10
! BaTl2TePt (PBE, relaxed); values from VASP
! - E_form (uncorrected) (eV/atom) = -0.64
&SYSTEM
  ibrav = 0, nat = 5, ntyp = 4
/
ATOMIC_SPECIES
Te 127.60 Te.upf
Tl 204.38 Tl.upf
Pt 195.08 Pt.upf
Ba 137.33 Ba.upf
CELL_PARAMETERS angstrom
5.309 0.000 0.000
0.000 5.309 0.000
0.000 0.000 6.184
ATOMIC_POSITIONS crystal
Te 0.500 0.500 0.500
Tl 0.500 0.000 0.000
Tl 0.000 0.500 0.000
Pt 0.000 0.000 0.000
Ba 0.000 0.000 0.500

***

# 11
! Ba5ThPt4 (PBE, relaxed); values from VASP
! - energy relative to the elements (eV/atom) = -0.757
&SYSTEM
  ibrav = 0, nat = 10, ntyp = 3
/
ATOMIC_SPECIES
Pt 195.08 Pt.upf
Ba 137.33 Ba.upf
Th 232.04 Th.upf
CELL_PARAMETERS angstrom
-1.870 2.432 -3.286
5.699 -3.509 -5.840
-6.698 -7.373 1.431
ATOMIC_POSITIONS crystal
Pt 0.347 0.922 0.694
Ba 0.500 0.500 0.000
Ba 0.169 0.844 0.338
Ba 0.841 0.680 0.682
Th 0.500 0.000 0.000
Pt 0.997 0.218 0.993
Ba 0.159 0.320 0.318
Pt 0.653 0.078 0.306
Ba 0.831 0.156 0.662
Pt 0.003 0.782 0.007

***

# 12
! BaThPt2 (PBE, relaxed); values from VASP
! - energy relative to the elements (eV/atom) = -1.001
! - energy above the most stable polymorph in this dataset (meV per atom) = 0
&SYSTEM
  ibrav = 0, nat = 4, ntyp = 3
/
ATOMIC_SPECIES
Ba 137.33 Ba.upf
Pt 195.08 Pt.upf
Th 232.04 Th.upf
CELL_PARAMETERS angstrom
-3.821 1.925 0.198
-2.598 -0.042 -3.405
-5.200 -5.695 1.345
ATOMIC_POSITIONS crystal
Ba 0.500 0.500 0.500
Pt 0.736 0.736 0.791
Th 0.000 0.000 0.000
Pt 0.264 0.264 0.209

***

Short version: total DFT energy (no corrections) = -28.97; -20.15; -16.57; -28.11; -25.50; -28.90; -28.37; -28.53; -19.67; -19.05; -48.76; -25.43 eV for the cell shown, in the order given.